[1]
## Zr2InSb (PBE)

Data for a geometry-optimized Zr2InSb structure.

CIF file:
```
data_Zr2InSb
_chemical_formula_sum 'Zr4 In2 Sb2'
_cell_length_a 4.245
_cell_length_b 4.804
_cell_length_c 9.686
_cell_angle_alpha 90.00
_cell_angle_beta 90.00
_cell_angle_gamma 90.00
_space_group_name_H-M_alt 'C m m 2'
_space_group_IT_number 35
loop_
_space_group_symop_operation_xyz
'x,y,z'
'-x,-y,z'
'-x,y,z'
'x,-y,z'
'x+1/2,y+1/2,z'
'-x+1/2,-y+1/2,z'
'-x+1/2,y+1/2,z'
'x+1/2,-y+1/2,z'
loop_
_atom_site_label
_atom_site_fract_x
_atom_site_fract_y
_atom_site_fract_z
Zr1 0.000 0.000 0.000
Zr2 0.000 0.500 0.235
In1 0.000 0.500 0.767
Sb1 0.000 0.000 0.465
```

Calculated values
Fermi-level density of states ... 3.60 states/eV/f.u.
Calculated volume ... 197.51 Å³/cell
Uncorrected formation energy ... -0.1131 eV/atom

***

[2]
## CeTi2N4 (PBE)

Data for a geometry-optimized CeTi2N4 structure.

CIF file:
```
data_CeTi2N4
_chemical_formula_sum 'Ce4 Ti8 N16'
_cell_length_a 3.102
_cell_length_b 10.031
_cell_length_c 10.206
_cell_angle_alpha 90.00
_cell_angle_beta 90.00
_cell_angle_gamma 90.00
_space_group_name_H-M_alt 'C m c m'
_space_group_IT_number 63
_space_group_name_Hall '-C 2c 2'
loop_
_atom_site_label
_atom_site_fract_x
_atom_site_fract_y
_atom_site_fract_z
Ce1 0.000 0.108 0.250
Ti1 0.000 0.366 0.063
N1 0.000 0.000 0.000
N2 0.000 0.266 0.612
N3 0.000 0.439 0.250
```

Calculated values
Fermi-level density of states ... 0.82 states/eV/f.u.
Calculated volume ... 317.56 Å³/cell
Uncorrected formation energy ... -1.3999 eV/atom

***

[3]
## SrCuW2Se (PBE)

Data for a geometry-optimized SrCuW2Se structure.

CIF file:
```
data_SrCuW2Se
_chemical_formula_sum 'Sr1 Cu1 W2 Se1'
_cell_length_a 5.073
_cell_length_b 5.073
_cell_length_c 5.363
_cell_angle_alpha 90.00
_cell_angle_beta 90.00
_cell_angle_gamma 90.00
_space_group_name_H-M_alt 'P 4/m m m'
_space_group_IT_number 123
_space_group_name_Hall '-P 4 2'
loop_
_atom_site_label
_atom_site_fract_x
_atom_site_fract_y
_atom_site_fract_z
Sr1 0.000 0.000 0.000
Cu1 0.500 0.500 0.500
W1 0.000 0.500 0.000
Se1 0.000 0.000 0.500
```

Calculated values
Fermi-level density of states ... 9.19 states/eV/f.u.
Calculated volume ... 138.05 Å³/cell
Uncorrected formation energy ... 3.1967 eV/atom

***

[4]
## SrAc3In4 (PBE)

Data for a geometry-optimized SrAc3In4 structure.

CIF file:
```
data_SrAc3In4
_chemical_formula_sum 'Sr4 Ac12 In16'
_cell_length_a 8.152
_cell_length_b 8.178
_cell_length_c 16.541
_cell_angle_alpha 90.00
_cell_angle_beta 90.00
_cell_angle_gamma 90.00
_space_group_name_H-M_alt 'F m m m'
_space_group_IT_number 69
_space_group_name_Hall '-F 2 2'
loop_
_atom_site_label
_atom_site_fract_x
_atom_site_fract_y
_atom_site_fract_z
Sr1 0.000 0.000 0.000
Ac1 0.000 0.000 0.248
Ac2 0.000 0.000 0.500
In1 0.250 0.250 0.124
```

Calculated values
Fermi-level density of states ... 7.46 states/eV/f.u.
Energy of formation from the pure elements ... -0.4213 eV/atom
Calculated volume ... 1102.76 Å³/cell

***

[5]
## DyZrSc (PBE)

Data for a geometry-optimized DyZrSc structure.

CIF file:
```
data_DyZrSc
_chemical_formula_sum 'Dy1 Zr1 Sc1'
_cell_length_a 5.2264
_cell_length_b 5.2264
_cell_length_c 3.2855
_cell_angle_alpha 90.00
_cell_angle_beta 90.00
_cell_angle_gamma 120.00
_space_group_name_H-M_alt 'P -6 m 2'
_space_group_IT_number 187
_space_group_name_Hall 'P -6 2'
loop_
_atom_site_label
_atom_site_fract_x
_atom_site_fract_y
_atom_site_fract_z
Dy1 0.0000 0.0000 0.0000
Zr1 0.6667 0.3333 0.5000
Sc1 0.3333 0.6667 0.5000
```

Calculated values
Fermi-level density of states ... 5.67 states/eV/f.u.
Energy of formation from the pure elements ... 0.0920 eV/atom
Calculated volume ... 77.72 Å³/cell

***

[6]
## Be2AgMoRh (PBE)

Data for a geometry-optimized Be2AgMoRh structure.

CIF file:
```
data_Be2AgMoRh
_chemical_formula_sum 'Be2 Ag1 Mo1 Rh1'
_cell_length_a 4.113
_cell_length_b 4.113
_cell_length_c 4.912
_cell_angle_alpha 90.00
_cell_angle_beta 90.00
_cell_angle_gamma 90.00
_space_group_name_H-M_alt 'P 4/m m m'
_space_group_IT_number 123
_space_group_name_Hall '-P 4 2'
loop_
_atom_site_label
_atom_site_fract_x
_atom_site_fract_y
_atom_site_fract_z
Be1 0.000 0.500 0.000
Ag1 0.000 0.000 0.000
Mo1 0.500 0.500 0.500
Rh1 0.000 0.000 0.500
```

Calculated values
Fermi-level density of states ... 5.75 states/eV/f.u.
Energy of formation from the pure elements ... 1.3536 eV/atom
Calculated volume ... 83.09 Å³/cell

***

Asked for uncorrected energy across the records above, the calculation gives -6.10, -9.26, -3.84, -3.54, -6.40, -4.34 eV/atom in order.